(1)
Material: TlSiNi2
Method: DFT, GGA-PBE
State: optimized geometry

Cell lengths 3.1842, 3.1842, 6.0074 Å; angles 90.00, 90.00, 90.01 degrees
Last column: nearest neighbours and their distance in Å.
Fractional positions:
Ni: 0.0000 0.0000 0.0344  1 Si 2.23
Ni: 0.5000 0.5000 0.2844  4 Si 2.37
Tl: 0.5000 0.5000 0.7757  6 Ni 2.74-3.06
Si: 0.0000 0.0000 0.4055  5 Ni 2.23-2.37

Properties
The magnetization is 0.00 μB per cell. Its relative energy among the computed polymorphs is 155 meV/atom. Its uncorrected formation energy is 0.09 eV per atom. The calculation puts the density of states at the Fermi level at 0.549 states/eV/atom.



(2)
Material: DyGaSn2
Method: DFT, GGA-PBE
State: optimized geometry

Cell lengths 4.7214, 4.5168, 4.5168 Å; angles 90.00, 90.00, 90.00 degrees
Last column: nearest neighbours and their distance in Å.
Fractional positions:
Dy: 0.5000 0.5000 0.5000  4 Ga 3.19, 8 Sn 3.27
Sn: 0.0000 0.0000 0.5000  4 Sn 3.19, 4 Dy 3.27, 4 Ga 3.27
Sn: 0.0000 0.5000 0.0000  4 Sn 3.19, 4 Dy 3.27, 4 Ga 3.27
Ga: 0.5000 0.0000 0.0000  4 Dy 3.19, 8 Sn 3.27

Properties
The magnetization is 0.00 μB per cell. Its relative energy among the computed polymorphs is 4 meV/atom. Its formation energy is -0.459 eV per atom. The calculation puts the density of states at the Fermi level at 0.320 states/eV/atom.



(3)
Material: Y6MgCu6
Method: DFT, GGA-PBE
State: optimized geometry

Cell lengths 5.7170, 5.7170, 9.9948 Å; angles 90.00, 90.00, 120.00 degrees
Last column: nearest neighbours and their distance in Å.
Fractional positions:
Y: 0.0000 0.0000 0.3183  6 Cu 2.96, 1 Mg 3.18
Y: 0.6667 0.3333 0.5000  6 Cu 3.06, 3 Y 3.30
Y: 0.6667 0.3333 0.0000  6 Cu 2.92
Y: 0.0000 0.0000 0.6817  6 Cu 2.96, 1 Mg 3.18
Y: 0.3333 0.6667 0.5000  6 Cu 3.06, 3 Y 3.30
Y: 0.3333 0.6667 0.0000  6 Cu 2.92
Mg: 0.0000 0.0000 0.0000  8 Y 3.18-3.30
Cu: 0.5000 0.5000 0.2416  4 Cu 2.86, 6 Y 2.92-3.06
Cu: 0.0000 0.5000 0.7584  4 Cu 2.86, 6 Y 2.92-3.06
Cu: 0.0000 0.5000 0.2416  4 Cu 2.86, 6 Y 2.92-3.06
Cu: 0.5000 0.0000 0.2416  4 Cu 2.86, 6 Y 2.92-3.06
Cu: 0.5000 0.0000 0.7584  4 Cu 2.86, 6 Y 2.92-3.06
Cu: 0.5000 0.5000 0.7584  4 Cu 2.86, 6 Y 2.92-3.06

Properties
The magnetization is 0.00 μB per cell. Its relative energy among the computed polymorphs is 0 meV/atom. Its formation energy is -0.068 eV per atom. The calculation puts the density of states at the Fermi level at 0.903 states/eV/atom.